1.
Entry from Alexandria via LeMat-Bulk: an optimized crystal structure of Li4Er3BiS8 (PBE-GGA).

Summary:
Total magnetization (μB/atom): 0.000
V (Å³/f.u.): 328.6
Density of states at the Fermi level (states/eV/cell): 0.0
Raw total energy (eV per cell): -250.30

Cell lengths 7.8214, 7.8214, 18.6112 Å; angles 90.00, 90.00, 120.00 degrees
Space group R-3m (No. 166, hexagonal axes)
Unique sites:
Li  0.0000  0.0000  0.0000 [3 per cell]
Li  0.0000  0.5000  0.0000 [9 per cell]
Er  0.0000  0.5000  0.5000 [9 per cell]
Bi  0.0000  0.0000  0.5000 [3 per cell]
S  0.0000  0.0000  0.2489 [6 per cell]
S  0.0082  0.5041  0.7491 [18 per cell]



2.
Entry from Alexandria via LeMat-Bulk: an optimized crystal structure of TlZnB (PBE-GGA).

Summary:
Calculated formation energy (eV per atom): 0.400
Total magnetization (μB/atom): 0.000
V (Å³/f.u.): 60.9
Density of states at the Fermi level (states/eV/cell): 3.7
Raw total energy (eV per cell): -36.47

Cell lengths 6.0475, 5.2052, 7.7852 Å; angles 90.00, 96.05, 90.00 degrees
Space group C2/m (No. 12)
Unique sites:
Tl  0.2350  0.0000  0.3355 [4 per cell]
Zn  0.1849  0.5000  0.0851 [4 per cell]
B  0.0000  0.1528  0.0000 [4 per cell]



3.
Entry from Alexandria via LeMat-Bulk: an optimized crystal structure of CdIn (PBE-GGA).

Summary:
Calculated formation energy (eV per atom): 0.057
Total magnetization (μB/atom): 0.000
V (Å³/f.u.): 50.6
Density of states at the Fermi level (states/eV/cell): 2.8
Raw total energy (eV per cell): -7.08

Cell lengths 3.2353, 5.5216, 5.6612 Å; angles 90.00, 90.00, 90.00 degrees
Space group Pmmn (No. 59, origin choice 2)
Unique sites:
Cd  0.2500  0.2500  0.0750 [2 per cell]
In  0.2500  0.7500  0.4190 [2 per cell]



4.
Entry from Alexandria via LeMat-Bulk: an optimized crystal structure of LuSb3 (PBE-GGA).

Summary:
Total magnetization (μB/atom): 0.000
V (Å³/f.u.): 119.4
Density of states at the Fermi level (states/eV/cell): 0.1
Raw total energy (eV per cell): -18.62

Cell lengths 4.3521, 6.1468, 4.4635 Å; angles 90.00, 90.00, 90.00 degrees
Space group Pmm2 (No. 25)
Unique sites:
Lu  0.0000  0.0000  0.0000 [1 per cell]
Sb  0.0000  0.5000  0.9069 [1 per cell]
Sb  0.5000  0.0000  0.4893 [1 per cell]
Sb  0.5000  0.5000  0.3430 [1 per cell]



5.
Entry from Alexandria via LeMat-Bulk: an optimized crystal structure of Ba2ZrSbPt (PBE-GGA).

Summary:
Total magnetization (μB/atom): 0.000
V (Å³/f.u.): 205.1
Density of states at the Fermi level (states/eV/cell): 5.9
Raw total energy (eV per cell): -20.04

Cell lengths 6.2103, 6.2103, 5.3169 Å; angles 90.00, 90.00, 90.00 degrees
Space group P4/mmm (No. 123)
Unique sites:
Ba  0.0000  0.5000  0.0000 [2 per cell]
Zr  0.0000  0.0000  0.0000 [1 per cell]
Sb  0.0000  0.0000  0.5000 [1 per cell]
Pt  0.5000  0.5000  0.5000 [1 per cell]



6.
Entry from Alexandria via LeMat-Bulk: an optimized crystal structure of Ca2BeBPt6 (PBE-GGA).

Summary:
Calculated formation energy (eV per atom): -0.709
Total magnetization (μB/atom): 0.000
V (Å³/f.u.): 171.3
Density of states at the Fermi level (states/eV/cell): 9.5
Raw total energy (eV per cell): -173.23

Cell lengths 5.6762, 5.6762, 18.4168 Å; angles 90.00, 90.00, 120.00 degrees
Space group R-3m (No. 166, hexagonal axes)
Unique sites:
Ca  0.0000  0.0000  0.2125 [6 per cell]
Be  0.0000  0.0000  0.5000 [3 per cell]
B  0.0000  0.0000  0.0000 [3 per cell]
Pt  0.0150  0.5075  0.2657 [18 per cell]